The following is a GGA-PBEsol calculation of crystalline TcHgCl2 at its relaxed geometry, from the Alexandria database.

abc: 3.914 3.914 5.960
angles: 109.17 109.17 90.00
Sites, in units of the cell vectors:
Cl  0.000  0.000  0.000
Cl  0.750  0.250  0.500
Tc  0.250  0.750  0.500
Hg  0.500  0.500  0.000

Computed properties:
- energy relative to the elements, uncorrected (eV per atom) = 0.618
- SG = I-4m2, No. 119
- energy relative to the lowest polymorph listed for this composition (meV/atom) = 84

***

The following is a GGA-PBEsol calculation of crystalline ZnTeAuN2 at its relaxed geometry, from the Alexandria database.

abc: 3.968 3.968 6.070
angles: 90.00 90.00 90.00
Sites, in units of the cell vectors:
Au  0.000  0.000  0.000
Te  0.000  0.000  0.500
Zn  0.500  0.500  0.500
N  0.000  0.500  0.000
N  0.500  0.000  0.000

Computed properties:
- energy relative to the elements, uncorrected (eV per atom) = 1.496
- SG = P4/mmm, No. 123

***

The following is a GGA-PBEsol calculation of crystalline Al3BiH at its relaxed geometry, from the Alexandria database.

abc: 4.431 4.431 4.431
angles: 90.00 90.00 90.00
Sites, in units of the cell vectors:
Al  0.000  0.000  0.500
H  0.000  0.000  0.000
Al  0.000  0.500  0.000
Al  0.500  0.000  0.000
Bi  0.500  0.500  0.500

Computed properties:
- SG = Pm-3m, No. 221

***

The following is a GGA-PBEsol calculation of crystalline SeS3I at its relaxed geometry, from the Alexandria database.

abc: 4.995 4.995 4.995
angles: 90.00 90.00 90.00
Sites, in units of the cell vectors:
Se  0.500  0.500  0.500
I  0.000  0.000  0.000
S  0.500  0.000  0.000
S  0.000  0.000  0.500
S  0.000  0.500  0.000

Computed properties:
- energy relative to the elements, uncorrected (eV per atom) = 1.197
- SG = Pm-3m, No. 221

***

The following is a GGA-PBEsol calculation of crystalline Bi17W3O33 at its relaxed geometry, from the Alexandria database.

abc: 10.001 10.317 10.158
angles: 109.87 102.18 114.40
Sites, in units of the cell vectors:
W  0.509  0.513  0.000
O  0.354  0.515  0.071
W  0.242  0.756  0.501
Bi  0.739  0.239  0.491
O  0.635  0.656  0.517
O  0.085  0.582  0.957
O  0.102  0.533  0.378
Bi  0.130  0.035  0.707
O  0.821  0.511  0.595
Bi  0.893  0.269  0.184
O  0.921  0.744  0.883
O  0.687  0.621  0.186
Bi  0.177  0.372  0.591
Bi  0.311  0.079  0.429
Bi  0.366  0.470  0.345
Bi  0.040  0.340  0.920
O  0.662  0.940  0.387
O  0.862  0.408  0.059
Bi  0.711  0.913  0.599
O  0.474  0.061  0.303
O  0.414  0.757  0.455
Bi  0.464  0.135  0.112
O  0.432  0.527  0.823
O  0.566  0.282  0.609
O  0.075  0.771  0.578
Bi  0.545  0.831  0.892
O  0.510  0.366  0.299
O  0.891  0.899  0.509
O  0.683  0.505  0.912
O  0.633  0.091  0.982
O  0.324  0.753  0.686
O  0.152  0.218  0.122
Bi  0.619  0.236  0.828
Bi  0.954  0.656  0.084
O  0.798  0.216  0.736
O  0.927  0.190  0.384
Bi  0.662  0.549  0.707
O  0.593  0.783  0.094
O  0.098  0.258  0.729
O  0.361  0.000  0.609
O  0.374  0.843  0.990
O  0.850  0.967  0.038
O  0.434  0.300  0.941
O  0.135  0.967  0.161
O  0.188  0.975  0.908
Bi  0.408  0.789  0.189
O  0.171  0.797  0.330
Bi  0.838  0.925  0.294
Bi  0.774  0.570  0.399
O  0.736  0.303  0.287
O  0.954  0.010  0.817
Bi  0.109  0.704  0.786
W  0.033  0.996  0.008

Computed properties:
- energy relative to the elements, uncorrected (eV per atom) = -1.418
- SG = P1, No. 1

***

The following is a GGA-PBEsol calculation of crystalline TaHg2Cl at its relaxed geometry, from the Alexandria database.

abc: 4.746 4.746 4.746
angles: 60.00 60.00 60.00
Sites, in units of the cell vectors:
Cl  0.500  0.500  0.500
Hg  0.000  0.000  0.000
Hg  0.750  0.750  0.750
Ta  0.250  0.250  0.250

Computed properties:
- energy relative to the elements, uncorrected (eV per atom) = 0.560
- SG = F-43m, No. 216
- energy relative to the lowest polymorph listed for this composition (meV/atom) = 499

***

The following is a GGA-PBEsol calculation of crystalline Ni2PtRh at its relaxed geometry, from the Alexandria database.

abc: 3.651 3.651 4.535
angles: 113.74 113.74 90.00
Sites, in units of the cell vectors:
Pt  0.500  0.500  0.000
Ni  0.750  0.250  0.500
Rh  0.250  0.750  0.500
Ni  0.000  0.000  0.000

Computed properties:
- formation energy (eV per atom) = -0.0192
- SG = I-4m2, No. 119

***

The following is a GGA-PBEsol calculation of crystalline BeSN2F at its relaxed geometry, from the Alexandria database.

abc: 3.473 3.473 6.150
angles: 90.00 90.00 90.00
Sites, in units of the cell vectors:
S  0.000  0.000  0.500
N  0.500  0.000  0.000
Be  0.500  0.500  0.500
F  0.000  0.000  0.000
N  0.000  0.500  0.000

Computed properties:
- energy relative to the elements, uncorrected (eV per atom) = 2.120
- SG = P4/mmm, No. 123
- energy relative to the lowest polymorph listed for this composition (meV/atom) = 1054

***

The following is a GGA-PBEsol calculation of crystalline K3RhCl6 at its relaxed geometry, from the Alexandria database.

abc: 7.412 11.711 12.386
angles: 107.81 90.00 90.00
Sites, in units of the cell vectors:
Cl  0.705  0.398  0.861
K  0.074  0.267  0.818
K  0.068  0.385  0.182
Cl  0.871  0.181  0.999
Cl  0.742  0.602  0.590
Cl  0.314  0.141  0.623
Cl  0.814  0.359  0.377
Cl  0.258  0.398  0.410
K  0.926  0.733  0.182
K  0.951  0.857  0.596
Cl  0.629  0.681  0.999
K  0.426  0.767  0.818
Cl  0.495  0.119  0.380
Cl  0.129  0.819  0.001
Cl  0.795  0.898  0.861
Cl  0.691  0.494  0.148
Cl  0.809  0.994  0.148
Cl  0.295  0.602  0.139
Rh  0.500  0.000  0.500
K  0.451  0.643  0.404
Cl  0.505  0.881  0.620
Cl  0.242  0.898  0.410
K  0.549  0.357  0.596
K  0.049  0.143  0.404
Cl  0.995  0.381  0.620
Cl  0.758  0.102  0.590
K  0.932  0.615  0.818
Cl  0.371  0.319  0.001
Cl  0.191  0.006  0.852
K  0.568  0.115  0.818
Cl  0.309  0.506  0.852
K  0.574  0.233  0.182
Cl  0.005  0.619  0.380
Rh  0.000  0.000  0.000
Cl  0.205  0.102  0.139
Rh  0.500  0.500  0.000
Cl  0.686  0.859  0.377
Cl  0.186  0.641  0.623
Rh  0.000  0.500  0.500
K  0.432  0.885  0.182

Computed properties:
- energy relative to the elements, uncorrected (eV per atom) = -1.449
- SG = P2_1/c, No. 14

***

The following is a GGA-PBEsol calculation of crystalline AlCo4Tc at its relaxed geometry, from the Alexandria database.

abc: 4.568 4.568 4.568
angles: 60.00 60.00 60.00
Sites, in units of the cell vectors:
Co  0.374  0.374  0.374
Tc  0.750  0.750  0.750
Al  0.000  0.000  0.000
Co  0.374  0.374  0.877
Co  0.877  0.374  0.374
Co  0.374  0.877  0.374

Computed properties:
- formation energy (eV per atom) = -0.0129
- SG = F-43m, No. 216

***

The following is a GGA-PBEsol calculation of crystalline KReSi2 at its relaxed geometry, from the Alexandria database.

abc: 3.966 3.966 5.149
angles: 112.65 112.65 90.00
Sites, in units of the cell vectors:
Re  0.250  0.750  0.500
Si  0.000  0.000  0.000
Si  0.750  0.250  0.500
K  0.500  0.500  0.000

Computed properties:
- energy relative to the elements, uncorrected (eV per atom) = 1.279
- SG = I-4m2, No. 119
- energy relative to the lowest polymorph listed for this composition (meV/atom) = 1251

***

The following is a GGA-PBEsol calculation of crystalline ZrTl2Cl at its relaxed geometry, from the Alexandria database.

abc: 3.310 3.310 8.437
angles: 90.00 90.00 90.00
Sites, in units of the cell vectors:
Tl  0.000  0.000  0.757
Tl  0.000  0.000  0.243
Cl  0.500  0.500  0.500
Zr  0.500  0.500  0.000

Computed properties:
- energy relative to the elements, uncorrected (eV per atom) = -0.077
- SG = P4/mmm, No. 123
- energy relative to the lowest polymorph listed for this composition (meV/atom) = 523

***

Computed values of E_tot (unit: eV per cell) for the preceding records, in sequence: -13.4; -18.6; -18.3; -12.8; -362.7; -13.5; -27.5; -16.8; -152.3; -46.4; -20.8; -16.7.
Computed values of magnetization (unit: μB per formula unit) for the preceding records, in sequence: 3.83; 3.21; 0.00; 0.13; 0.88; 0.00; 1.56; 3.41; 0.05; 0.00; 0.22; 0.00.